Entry 1:
# Co2TeOsBr | Alexandria | PBE | relaxed
# Space-group type ... P4/mmm (123)
# Calculated total energy ... -21.3 eV for the cell shown
# Uncorrected formation energy ... 1.797 eV per atom
# Crystal system ... tetragonal
data_Co2TeOsBr
_space_group_name_H-M_alt 'P 1'
_space_group_IT_number 1
_space_group_name_Hall 'P 1'
_cell_length_a 4.222
_cell_length_b 6.113
_cell_length_c 4.222
_cell_angle_alpha 90.00
_cell_angle_beta 90.00
_cell_angle_gamma 90.00
loop_
_atom_site_label
_atom_site_type_symbol
_atom_site_fract_x
_atom_site_fract_y
_atom_site_fract_z
_atom_site_occupancy
Co1 Co 0.000 0.000 0.500 1
Co2 Co 0.500 0.000 0.000 1
Te1 Te 0.000 0.500 0.000 1
Os1 Os 0.500 0.500 0.500 1
Br1 Br 0.000 0.000 0.000 1



Entry 2:
# Na2Sc2SnS6 | Alexandria | PBE | relaxed
# Space-group type ... C2/m (12)
# Calculated total energy ... -58.9 eV for the cell shown
# Uncorrected formation energy ... -1.350 eV per atom
# Crystal system ... monoclinic
data_Na2Sc2SnS6
_space_group_name_H-M_alt 'P 1'
_space_group_IT_number 1
_space_group_name_Hall 'P 1'
_cell_length_a 6.501
_cell_length_b 6.501
_cell_length_c 7.127
_cell_angle_alpha 98.46
_cell_angle_beta 98.46
_cell_angle_gamma 120.28
loop_
_atom_site_label
_atom_site_type_symbol
_atom_site_fract_x
_atom_site_fract_y
_atom_site_fract_z
_atom_site_occupancy
Na1 Na 0.834 0.166 0.000 1
Na2 Na 0.166 0.834 0.000 1
Sc1 Sc 0.332 0.668 0.500 1
Sc2 Sc 0.668 0.332 0.500 1
Sn1 Sn 0.000 0.000 0.500 1
S1 S 0.742 0.742 0.711 1
S2 S 0.069 0.403 0.713 1
S3 S 0.258 0.258 0.289 1
S4 S 0.403 0.069 0.713 1
S5 S 0.931 0.597 0.287 1
S6 S 0.597 0.931 0.287 1



Entry 3:
# Nb3ZnRu3 | Alexandria | PBE | relaxed
# Space-group type ... Cmmm (65)
# Calculated total energy ... -119.6 eV for the cell shown
# Energy relative to the elements ... -67 meV/atom
# Crystal system ... orthorhombic
data_Nb3ZnRu3
_space_group_name_H-M_alt 'P 1'
_space_group_IT_number 1
_space_group_name_Hall 'P 1'
_cell_length_a 6.227
_cell_length_b 6.227
_cell_length_c 6.098
_cell_angle_alpha 90.00
_cell_angle_beta 90.00
_cell_angle_gamma 90.85
loop_
_atom_site_label
_atom_site_type_symbol
_atom_site_fract_x
_atom_site_fract_y
_atom_site_fract_z
_atom_site_occupancy
Nb1 Nb 0.262 0.262 0.500 1
Nb2 Nb 0.266 0.734 0.500 1
Nb3 Nb 0.734 0.266 0.500 1
Nb4 Nb 0.249 0.751 0.000 1
Nb5 Nb 0.751 0.249 0.000 1
Nb6 Nb 0.738 0.738 0.500 1
Zn1 Zn 0.265 0.265 0.000 1
Zn2 Zn 0.735 0.735 0.000 1
Ru1 Ru 0.000 0.000 0.745 1
Ru2 Ru 0.500 0.000 0.251 1
Ru3 Ru 0.000 0.500 0.251 1
Ru4 Ru 0.500 0.000 0.749 1
Ru5 Ru 0.000 0.500 0.749 1
Ru6 Ru 0.000 0.000 0.255 1



| no. | calculated density (g cm⁻³) | M_tot (μB/atom) |
| --- | --- | --- |
| 1 | 7.86 | 0.958 |
| 2 | 2.99 | 0.000 |
| 3 | 9.09 | 0.000 |